A plane-wave DFT calculation with PBE+U was carried out for a relaxed NiHOF2 crystal.

Output
Total energy   -3.285 eV/atom
Energy above the most stable polymorph in this dataset   0.087 eV/atom

Lattice parameters (Å, degrees): 3.886 3.886 3.726 90.00 90.00 90.00
Space group P4/mmm (No. 123)
Symmetry-distinct sites (fractional):
Ni  0.000  0.000  0.000 [1 per cell]
H  0.500  0.500  0.500 [1 per cell]
O  0.000  0.000  0.500 [1 per cell]
F  0.000  0.500  0.000 [2 per cell]